This record from the Alexandria database describes an optimized crystal structure of PW2I. The functional is GGA-PBE.

The structure belongs to space group Fm-3m (No. 225); the cell edges are 6.3947, 6.3947 and 6.3947 Å and the angles 90.00°, 90.00° and 90.00°. The inequivalent atoms are P at (0.0000, 0.0000, 0.0000), W at (0.2500, 0.2500, 0.2500) and I at (0.0000, 0.0000, 0.5000).

As for the final energy: -7.3000 eV/atom. For the density of states at the Fermi level, the calculation gives 12.2 states/eV/cell. Its size of the total moment is 0.00 μB/f.u. As for the formation energy without anion corrections: 917 meV per atom. Its relative energy among the computed polymorphs is 33 meV per atom.